# Ba2Rh | the Alexandria database | PBE-GGA | optimized geometry
# - D(E_F): 7.49 states/eV per cell
# - Volume: 481.25 Å³ per cell
# - Total moment: 0.00 μB/cell
# - DFT formation energy: -35 meV per atom
data_Ba2Rh
_cell_length_a 3.932
_cell_length_b 21.848
_cell_length_c 5.602
_cell_angle_alpha 90.00
_cell_angle_beta 90.00
_cell_angle_gamma 90.00
_space_group_name_H-M_alt 'P 1'
_space_group_IT_number 1
loop_
_space_group_symop_operation_xyz
'x,y,z'
loop_
_atom_site_label
_atom_site_fract_x
_atom_site_fract_y
_atom_site_fract_z
Ba1 0.000 0.054 0.250
Ba2 0.000 0.175 0.750
Ba3 0.000 0.825 0.250
Ba4 0.000 0.946 0.750
Ba5 0.500 0.325 0.250
Ba6 0.500 0.446 0.750
Ba7 0.500 0.554 0.250
Ba8 0.500 0.675 0.750
Rh1 0.000 0.428 0.250
Rh2 0.000 0.572 0.750
Rh3 0.500 0.072 0.750
Rh4 0.500 0.928 0.250

# BaRh2 | the Alexandria database | PBE-GGA | optimized geometry
# - D(E_F): 21.61 states/eV per cell
# - Volume: 330.33 Å³ per cell
# - Total moment: 6.17 μB/cell
# - DFT formation energy: 1037 meV per atom
data_BaRh2
_cell_length_a 6.913
_cell_length_b 6.913
_cell_length_c 6.913
_cell_angle_alpha 90.00
_cell_angle_beta 90.00
_cell_angle_gamma 90.00
_space_group_name_H-M_alt 'P 1'
_space_group_IT_number 1
loop_
_space_group_symop_operation_xyz
'x,y,z'
loop_
_atom_site_label
_atom_site_fract_x
_atom_site_fract_y
_atom_site_fract_z
Ba1 0.000 0.000 0.000
Ba2 0.000 0.500 0.500
Ba3 0.500 0.000 0.500
Ba4 0.500 0.500 0.000
Rh1 0.102 0.602 0.898
Rh2 0.102 0.898 0.398
Rh3 0.398 0.102 0.898
Rh4 0.398 0.398 0.398
Rh5 0.602 0.602 0.602
Rh6 0.602 0.898 0.102
Rh7 0.898 0.102 0.602
Rh8 0.898 0.398 0.102